Record 1
Crystalline NiIr4Cl at its relaxed geometry, computed with PBE.

Structure (POSCAR):
```
NiIr4Cl
1.0
1.6583 2.9831 3.9716
-1.0951 5.1205 0.0636
-3.4395 1.8992 3.4620
Ni Ir Cl
1 4 1
Cartesian
-2.1572 7.5020 5.6229
-0.2525 5.2419 4.7945
-2.7949 4.7014 4.5404
-1.6257 6.3079 2.8456
-1.0795 3.7542 2.8138
0.0000 0.0000 0.0000
```

SG: F-43m (216)
M_tot, μB/cell: 5.75
D(E_F), states/eV/cell: 12.07
Total energy, eV/atom: -6.055
Energy relative to the elements, uncorrected, eV per atom: 1.12


Record 2
Crystalline CaTa2Se at its relaxed geometry, computed with PBE.

Structure (POSCAR):
```
CaTa2Se
1.0
-2.2701 3.7813 4.6559
-0.0556 2.0949 6.0611
2.6083 3.8344 0.4912
Ca Se Ta
1 1 2
Cartesian
0.0707 2.4277 2.8020
0.2120 7.2830 8.4061
2.4089 3.9153 0.9025
0.3407 4.7744 5.1927
```

SG: Immm (71)
M_tot, μB/cell: 0.00
D(E_F), states/eV/cell: 3.21
Total energy, eV/atom: -7.254
Energy relative to the elements, uncorrected, eV per atom: 0.04


Record 3
Crystalline Al2CoHg at its relaxed geometry, computed with PBE.

Structure (POSCAR):
```
Al2CoHg
1.0
-0.9303 0.4075 -4.7800
-2.2131 -3.9785 -1.7759
-0.8667 2.8832 3.8492
Co Hg Al
1 1 2
Cartesian
-1.5711 -1.7848 -3.2767
-2.3252 -1.4399 -0.6013
-0.0001 -0.0001 -0.0002
-1.6853 0.7515 -2.1064
```

SG: I-4m2 (119)
M_tot, μB/cell: 0.00
D(E_F), states/eV/cell: 1.42
Formation energy, eV per formula unit: 0.19
ΔE to the lowest computed polymorph, meV per atom: 258
Total energy, eV/atom: -3.675


Record 4
Crystalline ThNiBi at its relaxed geometry, computed with PBE.

Structure (POSCAR):
```
ThNiBi
1.0
-4.0498 0.6530 -1.7987
-2.5161 -5.3463 -1.8528
-4.4786 -0.8953 4.1817
Th Ni Bi
2 2 2
Cartesian
-3.2156 -3.7597 0.2982
-6.1983 -1.2610 2.3439
-6.0266 -3.7606 1.0500
-5.1109 -1.6168 -0.2334
-3.1128 -0.5375 1.2364
-8.6619 -3.3949 1.5393
```

SG: Imm2 (44)
M_tot, μB/cell: 0.00
D(E_F), states/eV/cell: 2.47
Formation energy, eV per formula unit: -1.48
Total energy, eV/atom: -6.186